No. 1
Below is a relaxed structure of RbTcI3, with properties calculated at the PBE level.

a = 6.6402 Å, b = 6.6402 Å, c = 6.6402 Å
α = 90.00°, β = 90.00°, γ = 90.00°
With the nearest neighbours (Å) after each atom.
Space group Pm-3m (No. 221)
Asymmetric unit:
1 Rb 0.0000 0.0000 0.0000 (multiplicity 1)  6 I 3.32
2 Tc 0.5000 0.5000 0.5000 (multiplicity 1)  12 I 4.70
3 I 0.0000 0.0000 0.5000 (multiplicity 3)  2 Rb 3.32

Values from the calculation:
- Energy relative to the elements, uncorrected: 846.1 meV/atom
- Excess energy over the best structure of this formula in the dataset: 1229.9 meV per atom

---

No. 2
Below is a relaxed structure of TbSmP, with properties calculated at the PBE level.

a = 3.9567 Å, b = 3.9567 Å, c = 6.5043 Å
α = 90.00°, β = 90.00°, γ = 120.00°
With the nearest neighbours (Å) after each atom.
Space group P3m1 (No. 156)
Asymmetric unit:
1 Tb 0.0000 0.0000 0.0000 (multiplicity 1)  3 P 2.77
2 Sm 0.6667 0.3333 0.5073 (multiplicity 1)  3 P 2.81
3 P 0.3333 0.6667 0.7597 (multiplicity 1)  3 Tb 2.77, 3 Sm 2.81

Values from the calculation:
- Energy of formation: -0.95 eV per atom

---

Number 1 is which compound?
RbTcI3